#i
Here is ZrCoW2 after structural relaxation from the Alexandria database. Energies are from PBEsol.

DOS at the Fermi energy = 1.03 states/eV per atom
magnetization = 1.14 μB/f.u.
theoretical density = 14.1 g cm⁻³

Cell lengths 4.419, 4.419, 4.419 Å; angles 60.00, 60.00, 60.00 degrees
Positions (direct):
Zr: 0.000 0.000 0.000
Co: 0.500 0.500 0.500
W: 0.250 0.250 0.250
W: 0.750 0.750 0.750

#ii
Here is ZrCoW2 after structural relaxation from the Alexandria database. Energies are from PBEsol.

DOS at the Fermi energy = 0.93 states/eV per atom
magnetization = 1.26 μB/f.u.
theoretical density = 13.7 g cm⁻³

Cell lengths 5.264, 5.264, 5.264 Å; angles 145.04, 130.64, 61.91 degrees
Positions (direct):
Zr: 0.000 0.000 0.000
Co: 0.500 0.500 0.000
W: 0.259 0.759 0.500
W: 0.741 0.241 0.500

Which one sits at the top of the stability order? #ii does.